Below is a relaxed Mn2NiMo crystal, with properties calculated at the GGA-PBE level.

Summary:
E	-8.668	eV/atom
energy of formation	0.28	eV/f.u.

Cell: 3.0396 3.0423 5.6142 Å, 90.00 90.00 90.00°
With the nearest neighbours (Å) after each atom.
Positions (direct):
Mo 0.5000 0.5000 0.2500  8 Mn 2.59, 2 Ni 2.81
Ni 0.5000 0.5000 0.7500  8 Mn 2.54, 2 Mo 2.81
Mn 0.0000 0.0000 0.5079  4 Ni 2.54, 4 Mo 2.59, 1 Mn 2.72
Mn 0.0000 0.0000 0.9921  4 Ni 2.54, 4 Mo 2.59, 1 Mn 2.72